{"formula": "CaTl2F", "functional": "GGA-PBEsol", "state": "optimized geometry", "spacegroup": "No. 225", "e_form_raw_mev_per_atom": -591.2, "volume_a3_per_fu": 95.5, "cell": [[-0.405, 3.996, -3.192], [-3.232, -0.212, -3.978], [-4.258, 2.861, 0.000]], "species": ["Ca", "Tl", "Tl", "F"], "fractional_positions": [[0.500, 0.500, 0.500], [0.750, 0.750, 0.750], [0.250, 0.250, 0.250], [0.000, 0.000, 0.000]]}

=====

{"formula": "CaTlF3", "functional": "GGA-PBEsol", "state": "optimized geometry", "spacegroup": "No. 161", "e_form_raw_mev_per_atom": -3023.0, "volume_a3_per_fu": 86.0, "relative_energy_mev_per_atom": 0, "cell": [[-1.163, 2.506, 5.584], [2.301, -2.685, 5.130], [4.594, 2.790, 3.150]], "species": ["Tl", "F", "F", "F", "Ca", "Ca", "F", "F", "F", "Tl"], "fractional_positions": [[0.731, 0.731, 0.731], [0.686, 0.262, 0.801], [0.186, 0.301, 0.762], [0.801, 0.686, 0.262], [0.492, 0.492, 0.492], [0.992, 0.992, 0.992], [0.762, 0.186, 0.301], [0.262, 0.801, 0.686], [0.301, 0.762, 0.186], [0.231, 0.231, 0.231]]}

=====

{"formula": "Ca2TlF2", "functional": "GGA-PBEsol", "state": "optimized geometry", "spacegroup": "No. 139", "e_form_raw_mev_per_atom": -2490.3, "volume_a3_per_fu": 100.3, "cell": [[-1.258, 3.005, 1.824], [-3.176, -0.142, -1.957], [-0.684, -5.694, 5.086]], "species": ["F", "Ca", "Ca", "F", "Tl"], "fractional_positions": [[0.750, 0.250, 0.500], [0.343, 0.343, 0.686], [0.657, 0.657, 0.314], [0.250, 0.750, 0.500], [0.000, 0.000, 0.000]]}

=====

{"formula": "CaTlF3", "functional": "GGA-PBEsol", "state": "optimized geometry", "spacegroup": "No. 221", "e_form_raw_mev_per_atom": -3010.6, "volume_a3_per_fu": 86.6, "relative_energy_mev_per_atom": 12, "cell": [[-1.561, 4.114, 0.462], [-3.312, -0.945, -2.779], [-2.485, -1.326, 3.413]], "species": ["F", "Tl", "F", "Ca", "F"], "fractional_positions": [[0.500, 0.000, 0.500], [0.000, 0.000, 0.000], [0.500, 0.500, 0.000], [0.500, 0.500, 0.500], [0.000, 0.500, 0.500]]}